1.
The following is a GGA-PBE calculation of a relaxed structure of KRb3Sn8, from Alexandria via LeMat-Bulk.

**Space group**: No. 160
**Calculated formation energy**: -0.139 eV per atom

Unit cell a=11.145 b=11.145 c=11.145 alpha=34.68 beta=34.68 gamma=34.68
Element x y z (fractional)
1 K 0.000 0.000 0.000
2 Rb 0.376 0.376 0.376
3 Rb 0.500 0.500 0.500
4 Rb 0.876 0.876 0.876
5 Sn 0.188 0.188 0.188
6 Sn 0.434 0.939 0.939
7 Sn 0.439 0.439 0.939
8 Sn 0.439 0.939 0.439
9 Sn 0.688 0.688 0.688
10 Sn 0.939 0.434 0.939
11 Sn 0.939 0.439 0.439
12 Sn 0.939 0.939 0.434



2.
The following is a GGA-PBE calculation of a relaxed structure of BaMn2Pb, from Alexandria via LeMat-Bulk.

**Space group**: No. 123
**Calculated formation energy**: 0.530 eV per atom

Unit cell a=3.804 b=3.804 c=7.453 alpha=90.00 beta=90.00 gamma=90.00
Element x y z (fractional)
1 Ba 0.000 0.000 0.000
2 Mn 0.500 0.500 0.325
3 Mn 0.500 0.500 0.675
4 Pb 0.000 0.000 0.500



3.
The following is a GGA-PBE calculation of a relaxed structure of GaGe3Pt, from Alexandria via LeMat-Bulk.

**Space group**: No. 221
**Calculated formation energy**: 0.816 eV per atom
**ΔE to the lowest computed polymorph**: 0.476 eV per atom

Unit cell a=4.783 b=4.783 c=4.783 alpha=90.00 beta=90.00 gamma=90.00
Element x y z (fractional)
1 Ga 0.000 0.000 0.000
2 Ge 0.000 0.000 0.500
3 Ge 0.000 0.500 0.000
4 Ge 0.500 0.000 0.000
5 Pt 0.500 0.500 0.500



- The highest calculated formation energy belongs to which entry?
  GaGe3Pt



- Which value of calculated formation energy does entry 2 give?
  0.530 eV per atom



- Which formula does entry 2 have?
  BaMn2Pb



- Which formula does entry 3 have?
  GaGe3Pt